(1)
Here is a relaxed structure of YAs2Pd from the Alexandria database. Energies are from PBE.

a = 4.8011 Å, b = 4.8011 Å, c = 4.8011 Å
α = 60.00°, β = 60.00°, γ = 60.00°
Last column: nearest neighbours and their distance in Å.
Sites, in units of the cell vectors:
1 Y 0.0000 0.0000 0.0000  8 As 2.94
2 As 0.2500 0.2500 0.2500  4 Pd 2.94, 4 Y 2.94
3 As 0.7500 0.7500 0.7500  4 Y 2.94, 4 Pd 2.94
4 Pd 0.5000 0.5000 0.5000  8 As 2.94

## Properties
M_tot = 0.00 μB/cell
mass density = 7.3 g cm⁻³
formation enthalpy at 0 K = -0.57 eV/atom
space-group type = Fm-3m, No. 225

=====

(2)
Here is a relaxed structure of Ga2Hg from the Alexandria database. Energies are from PBE.

a = 6.1578 Å, b = 6.1578 Å, c = 6.1578 Å
α = 148.30°, β = 148.30°, γ = 45.44°
Last column: nearest neighbours and their distance in Å.
Sites, in units of the cell vectors:
1 Ga 0.1798 0.1798 0.0000  4 Ga 2.86, 4 Hg 3.14
2 Ga 0.8202 0.8202 0.0000  4 Ga 2.86, 4 Hg 3.14
3 Hg 0.5000 0.5000 0.0000  8 Ga 3.14, 4 Hg 3.36

## Properties
M_tot = 0.00 μB/cell
mass density = 8.8 g cm⁻³
E above lowest polymorph = 0 meV per atom
formation enthalpy at 0 K = 0.07 eV/atom
space-group type = I4/mmm, No. 139

=====

(3)
Here is a relaxed structure of NaAlZn2Ga4 from the Alexandria database. Energies are from PBE.

a = 7.9324 Å, b = 7.9324 Å, c = 7.9324 Å
α = 35.25°, β = 35.25°, γ = 35.25°
Last column: nearest neighbours and their distance in Å.
Sites, in units of the cell vectors:
1 Na 0.0000 0.0000 0.0000  8 Ga 2.96-2.98, 6 Zn 3.26
2 Al 0.5000 0.5000 0.5000  8 Ga 2.63-2.87
3 Zn 0.2564 0.2564 0.2564  8 Ga 2.75-3.04
4 Zn 0.7436 0.7436 0.7436  8 Ga 2.75-3.04
5 Ga 0.1329 0.1329 0.1329  4 Zn 2.75-3.04, 3 Al 2.87, 1 Na 2.96
6 Ga 0.3821 0.3821 0.3821  1 Al 2.63, 4 Zn 2.80-2.84
7 Ga 0.6179 0.6179 0.6179  1 Al 2.63, 4 Zn 2.80-2.84
8 Ga 0.8671 0.8671 0.8671  4 Zn 2.75-3.04, 3 Al 2.87, 1 Na 2.96

## Properties
M_tot = 0.00 μB/cell
mass density = 5.1 g cm⁻³
formation enthalpy at 0 K = 0.06 eV/atom
space-group type = R-3m, No. 166

=====

(4)
Here is a relaxed structure of CeYP2O8 from the Alexandria database. Energies are from PBE.

a = 5.2883 Å, b = 5.2883 Å, c = 7.1946 Å
α = 90.00°, β = 90.00°, γ = 120.00°
Last column: nearest neighbours and their distance in Å.
Sites, in units of the cell vectors:
1 Ce 0.0000 0.0000 0.0000  6 O 2.57
2 Y 0.0000 0.0000 0.5000  6 O 2.25
3 P 0.3333 0.6667 0.7942  4 O 1.53-1.55
4 P 0.6667 0.3333 0.2058  4 O 1.53-1.55
5 O 0.1739 0.3478 0.7202  1 P 1.55
6 O 0.1739 0.8261 0.7202  1 P 1.55
7 O 0.3333 0.6667 0.0067  1 P 1.53
8 O 0.3478 0.1739 0.2798  1 P 1.55
9 O 0.6522 0.8261 0.7202  1 P 1.55
10 O 0.6667 0.3333 0.9933  1 P 1.53
11 O 0.8261 0.1739 0.2798  1 P 1.55
12 O 0.8261 0.6522 0.2798  1 P 1.55

## Properties
M_tot = 1.00 μB/cell
mass density = 4.0 g cm⁻³
formation energy from raw total energies = -2.875 eV/atom
space-group type = P-3m1, No. 164

=====

Q: Which Fermi-level density of states values were calculated for the entries above? A: 4.78 1.25 2.37 6.77, in states/eV/cell.